Arrangement a

# CuAsBr2Cl PBE-GGA optimized geometry
# * crystal system: tetragonal
# * calculated density: 4.6 g/cm³
# * spin magnetization: 0.0 μB per formula unit
data_CuAsBr2Cl
_cell_length_a 4.825
_cell_length_b 4.825
_cell_length_c 5.128
_cell_angle_alpha 90.00
_cell_angle_beta 90.00
_cell_angle_gamma 90.00
_symmetry_space_group_name_H-M 'P 4/m m m'
_symmetry_Int_Tables_number 123
_symmetry_space_group_name_Hall '-P 4 2'
loop_
_atom_site_label
_atom_site_fract_x
_atom_site_fract_y
_atom_site_fract_z
Cu1 0.000 0.000 0.000
As1 0.000 0.000 0.500
Br1 0.000 0.500 0.000
Cl1 0.500 0.500 0.500


Arrangement b

# CuAsBr2Cl PBE-GGA optimized geometry
# * crystal system: tetragonal
# * calculated density: 3.9 g/cm³
# * spin magnetization: 1.3 μB per formula unit
data_CuAsBr2Cl
_cell_length_a 5.209
_cell_length_b 5.209
_cell_length_c 5.282
_cell_angle_alpha 90.00
_cell_angle_beta 90.00
_cell_angle_gamma 90.00
_symmetry_space_group_name_H-M 'P 4/m m m'
_symmetry_Int_Tables_number 123
_symmetry_space_group_name_Hall '-P 4 2'
loop_
_atom_site_label
_atom_site_fract_x
_atom_site_fract_y
_atom_site_fract_z
Cu1 0.000 0.000 0.000
As1 0.500 0.500 0.000
Br1 0.000 0.500 0.500
Cl1 0.500 0.500 0.500


Most stable: arrangement a. Least stable: arrangement b.